1.
{
  "formula": "Tb2SiP",
  "functional": "PBE",
  "state": "relaxed",
  "cell": [[3.829, 0.000, 0.000], [1.915, 3.316, 0.000], [1.915, 1.105, 9.025]],
  "species": ["P", "Si", "Tb", "Tb"],
  "fractional_positions": [[0.500, 0.500, 0.500], [0.000, 0.000, 0.000], [0.106, 0.106, 0.681], [0.894, 0.894, 0.319]],
  "final_energy_ev_per_atom": -5.41,
  "spacegroup": "No. 166",
  "de_polymorph_ev_per_atom": 0.822,
  "n_ef_per_ev_atom": 0.90,
  "density_g_cm3": 5.461
}

***

2.
{
  "formula": "Tb2SiP",
  "functional": "PBE",
  "state": "relaxed",
  "cell": [[3.911, 0.000, 0.000], [0.000, 4.103, -0.729], [0.000, -0.097, 11.367]],
  "species": ["Tb", "Tb", "Tb", "Tb", "Si", "Si", "P", "P"],
  "fractional_positions": [[0.750, 0.687, 0.375], [0.250, 0.313, 0.625], [0.750, 0.933, 0.866], [0.250, 0.067, 0.134], [0.250, 0.464, 0.928], [0.750, 0.536, 0.072], [0.250, 0.188, 0.376], [0.750, 0.812, 0.624]],
  "final_energy_ev_per_atom": -6.23,
  "spacegroup": "No. 63",
  "de_polymorph_ev_per_atom": 0.000,
  "n_ef_per_ev_atom": 0.33,
  "density_g_cm3": 6.872
}

***

3.
{
  "formula": "Tb4SiTe2P",
  "functional": "PBE",
  "state": "relaxed",
  "cell": [[4.190, 0.000, 0.000], [0.000, 7.260, 0.128], [0.000, -2.538, 7.041]],
  "species": ["Tb", "Tb", "Tb", "Tb", "Si", "Te", "Te", "P"],
  "fractional_positions": [[0.500, 0.238, 0.214], [0.500, 0.762, 0.786], [0.000, 0.260, 0.782], [0.000, 0.740, 0.218], [0.500, 0.500, 0.000], [0.500, 0.000, 0.500], [0.000, 0.500, 0.500], [0.000, 0.000, 0.000]],
  "final_energy_ev_per_atom": -5.80,
  "spacegroup": "No. 10",
  "n_ef_per_ev_atom": 0.24,
  "density_g_cm3": 7.319
}

***

4.
{
  "formula": "Tb8SiTe4P3",
  "functional": "PBE",
  "state": "relaxed",
  "cell": [[8.322, 0.000, 0.000], [0.000, 8.561, 0.163], [-4.161, -4.158, 5.888]],
  "species": ["Tb", "Tb", "Tb", "Tb", "Tb", "Tb", "Tb", "Tb", "Si", "Te", "Te", "Te", "Te", "P", "P", "P"],
  "fractional_positions": [[0.239, 0.714, 0.976], [0.238, 0.714, 0.477], [0.263, 0.289, 0.526], [0.738, 0.714, 0.976], [0.262, 0.286, 0.024], [0.737, 0.711, 0.474], [0.762, 0.286, 0.523], [0.761, 0.286, 0.024], [0.000, 0.500, 0.000], [0.500, 0.000, 0.000], [0.500, 0.000, 0.500], [0.000, 0.000, 0.000], [0.000, 0.000, 0.500], [0.500, 0.500, 0.000], [0.500, 0.500, 0.500], [0.000, 0.500, 0.500]],
  "final_energy_ev_per_atom": -5.91,
  "spacegroup": "No. 166",
  "n_ef_per_ev_atom": 0.31,
  "density_g_cm3": 7.432
}

***

5.
{
  "formula": "Tb6Si2Te3P",
  "functional": "PBE",
  "state": "relaxed",
  "cell": [[-0.869, 1.413, -3.865], [-7.610, -4.005, 0.248], [-1.195, 7.803, 5.409]],
  "species": ["Tb", "Tb", "Tb", "Tb", "Tb", "Tb", "Si", "Si", "Te", "Te", "Te", "P"],
  "fractional_positions": [[0.341, 0.900, 0.682], [0.673, 0.566, 0.346], [0.659, 0.100, 0.318], [0.008, 0.230, 0.015], [0.992, 0.770, 0.985], [0.327, 0.434, 0.654], [0.834, 0.668, 0.668], [0.166, 0.332, 0.332], [0.500, 0.500, 0.000], [0.834, 0.166, 0.668], [0.166, 0.834, 0.332], [0.500, 0.000, 0.000]],
  "final_energy_ev_per_atom": -5.73,
  "spacegroup": "No. 12",
  "n_ef_per_ev_atom": 0.21,
  "density_g_cm3": 7.245
}

***

6.
{
  "formula": "Tb8Si3Te4P",
  "functional": "PBE",
  "state": "relaxed",
  "cell": [[8.426, 0.000, 0.000], [0.000, 8.614, 0.125], [-4.213, -4.209, 5.961]],
  "species": ["Tb", "Tb", "Tb", "Tb", "Tb", "Tb", "Tb", "Tb", "Si", "Si", "Si", "Te", "Te", "Te", "Te", "P"],
  "fractional_positions": [[0.239, 0.717, 0.978], [0.239, 0.717, 0.479], [0.260, 0.279, 0.520], [0.739, 0.717, 0.978], [0.261, 0.283, 0.022], [0.740, 0.721, 0.480], [0.761, 0.283, 0.521], [0.761, 0.283, 0.022], [0.500, 0.500, 0.000], [0.500, 0.500, 0.500], [0.000, 0.500, 0.500], [0.500, 0.000, 0.000], [0.500, 0.000, 0.500], [0.000, 0.000, 0.000], [0.000, 0.000, 0.500], [0.000, 0.500, 0.000]],
  "final_energy_ev_per_atom": -5.69,
  "spacegroup": "No. 166",
  "n_ef_per_ev_atom": 0.21,
  "density_g_cm3": 7.207
}

***

7.
{
  "formula": "SiTcP2",
  "functional": "PBE",
  "state": "relaxed",
  "cell": [[-1.697, 3.427, 1.878], [-3.209, -0.456, 2.764], [0.650, 0.695, 4.152]],
  "species": ["P", "P", "Si", "Tc"],
  "fractional_positions": [[0.000, 0.000, 0.000], [0.750, 0.750, 0.750], [0.500, 0.500, 0.500], [0.250, 0.250, 0.250]],
  "final_energy_ev_per_atom": -6.31,
  "spacegroup": "No. 216",
  "n_ef_per_ev_atom": 0.07,
  "density_g_cm3": 5.712
}

***

8.
{
  "formula": "SiTcP2",
  "functional": "PBE",
  "state": "relaxed",
  "cell": [[4.394, -0.007, -0.004], [-1.500, 4.130, -0.004], [0.757, 1.078, 3.182]],
  "species": ["P", "P", "Si", "Tc"],
  "fractional_positions": [[0.000, 0.000, 0.000], [0.500, 0.500, 0.000], [0.500, 0.000, 0.500], [0.000, 0.500, 0.500]],
  "final_energy_ev_per_atom": -6.41,
  "spacegroup": "No. 12",
  "n_ef_per_ev_atom": 0.73,
  "density_g_cm3": 5.406
}